Below is an optimized crystal structure of BMoPb, with properties calculated at the PBE level.

POSCAR file:
```
BMoPb
1.0
1.5814 -10.9032 0.0000
1.5814 10.9032 0.0000
0.0000 0.0000 3.1156
B Mo Pb
2 2 2
Cartesian
1.5814 10.4067 2.3367
1.5814 -10.4067 0.7789
1.5814 1.2045 2.3367
1.5814 -1.2045 0.7789
1.5814 7.3805 2.3367
1.5814 -7.3805 0.7789
```

Properties
The value obtained for the energy of formation is -0.07 eV per atom. As for the symmetry: Cmcm. The total energy is -7.137 eV per atom. The density of states at the Fermi level comes out at 0.512 states/eV/atom.

=====

Below is an optimized crystal structure of BMoPb3, with properties calculated at the PBE level.

POSCAR file:
```
BMoPb3
1.0
5.0175 0.0000 0.0000
0.0000 5.0175 0.0000
0.0000 0.0000 5.0175
B Mo Pb
1 1 3
Cartesian
0.0000 0.0000 0.0000
2.5087 2.5087 2.5087
0.0000 0.0000 2.5087
0.0000 2.5087 0.0000
2.5087 0.0000 0.0000
```

Properties
The value obtained for the energy of formation is 1.29 eV per atom. As for the symmetry: Pm-3m. The total energy is -4.433 eV per atom. The density of states at the Fermi level comes out at 0.711 states/eV/atom.

=====

Below is an optimized crystal structure of BMoPb2, with properties calculated at the PBE level.

POSCAR file:
```
BMoPb2
1.0
-3.5964 3.5964 3.2505
3.5964 -3.5964 3.2505
3.5964 3.5964 -3.2505
B Mo Pb
2 2 4
Cartesian
0.0000 0.0000 0.0000
0.0000 3.5964 1.6252
3.5964 0.0000 1.6252
0.0000 0.0000 3.2505
1.7982 1.3902 -0.8126
2.2062 -1.7982 4.0631
1.7982 2.2062 2.4378
1.3902 5.3945 0.8126
```

Properties
The value obtained for the energy of formation is 1.35 eV per atom. As for the symmetry: I-42d. The total energy is -4.885 eV per atom. The density of states at the Fermi level comes out at 0.657 states/eV/atom.

=====

Below is an optimized crystal structure of B2MoPb, with properties calculated at the PBE level.

POSCAR file:
```
B2MoPb
1.0
-2.6756 2.6756 4.9543
2.6756 -2.6756 4.9543
2.6756 2.6756 -4.9543
B Mo Pb
4 2 2
Cartesian
4.0134 1.0364 -1.2386
1.0364 1.3378 1.2386
-1.3378 1.6392 3.7157
1.6392 1.3378 6.1929
0.0000 0.0000 0.0000
0.0000 2.6756 2.4771
2.6756 0.0000 2.4771
0.0000 0.0000 4.9543
```

Properties
The value obtained for the energy of formation is 0.99 eV per atom. As for the symmetry: I-42d. The total energy is -5.983 eV per atom. The density of states at the Fermi level comes out at 0.322 states/eV/atom.